Crystalline Mn2ZnPt at its relaxed geometry. Source: Alexandria, functional PBE.

Summary:
V   14.71 A^3/atom
Formation enthalpy at 0 K   -0.672 eV/f.u.

a = 4.333 Å, b = 4.333 Å, c = 3.134 Å
α = 90.00°, β = 90.00°, γ = 90.00°
Fractional coordinates of all 4 atoms:
Zn1 0.000 0.500 0.500
Pt1 0.500 0.000 0.500
Mn1 0.000 0.000 0.000
Mn2 0.500 0.500 0.000